1.
# PBE Rb2TcBr, relaxed
# Formation energy without anion corrections = 0.534 eV per atom
# Size of the total moment = 2.1 μB per formula unit
# ΔE to the lowest computed polymorph = 0.000 kcal/mol of atoms
data_Rb2TcBr
_chemical_formula_sum 'Rb4 Tc2 Br2'
_cell_length_a 12.847
_cell_length_b 12.847
_cell_length_c 9.391
_cell_angle_alpha 46.84
_cell_angle_beta 46.84
_cell_angle_gamma 90.00
_space_group_name_H-M_alt 'P 1'
_space_group_IT_number 1
loop_
_space_group_symop_operation_xyz
'x,y,z'
loop_
_atom_site_label
_atom_site_type_symbol
_atom_site_fract_x
_atom_site_fract_y
_atom_site_fract_z
_atom_site_occupancy
Tc1 Tc 0.750 0.250 0.500 1
Tc2 Tc 0.000 0.000 0.000 1
Rb1 Rb 0.375 0.559 0.750 1
Rb2 Rb 0.441 0.125 0.250 1
Rb3 Rb 0.309 0.625 0.250 1
Rb4 Rb 0.875 0.691 0.750 1
Br1 Br 0.500 0.500 0.000 1
Br2 Br 0.250 0.750 0.500 1

=====

2.
# PBE Li4SnPt, relaxed
# Size of the total moment = 0.0 μB per formula unit
# ΔE to the lowest computed polymorph = 0.000 kcal/mol of atoms
data_Li4SnPt
_chemical_formula_sum 'Li8 Sn2 Pt2'
_cell_length_a 4.487
_cell_length_b 5.375
_cell_length_c 8.239
_cell_angle_alpha 70.90
_cell_angle_beta 90.00
_cell_angle_gamma 90.00
_space_group_name_H-M_alt 'P 1'
_space_group_IT_number 1
loop_
_space_group_symop_operation_xyz
'x,y,z'
loop_
_atom_site_label
_atom_site_type_symbol
_atom_site_fract_x
_atom_site_fract_y
_atom_site_fract_z
_atom_site_occupancy
Li1 Li 0.750 0.548 0.916 1
Li2 Li 0.750 0.194 0.581 1
Li3 Li 0.250 0.275 0.419 1
Li4 Li 0.250 0.964 0.084 1
Li5 Li 0.750 0.036 0.916 1
Li6 Li 0.250 0.806 0.419 1
Li7 Li 0.250 0.452 0.084 1
Li8 Li 0.750 0.725 0.581 1
Sn1 Sn 0.750 0.626 0.248 1
Sn2 Sn 0.250 0.374 0.752 1
Pt1 Pt 0.750 0.122 0.256 1
Pt2 Pt 0.250 0.878 0.744 1

=====

Number 1: energy -2.9600 eV/atom, N(E_F) 6.6 states/eV/cell. Number 2: energy -3.4444 eV/atom, N(E_F) 3.1 states/eV/cell.